[1]
K2SrBi2 at its PBEsol-relaxed geometry, computed with meta-GGA SCAN.

Computed properties:
The energy of formation is -42.1 kJ per mole of atoms. As for the space group: I4/mmm, No. 139. The total magnetization is 0.000 μB/atom. The volume is 38.39 Å³/atom. The uncorrected energy is -2.91457 Ry per atom.

Unit cell a=8.6797 b=8.6797 c=8.6797 alpha=147.12 beta=147.12 gamma=47.18
Closest atoms and distances in Å follow each position.
Fractional positions:
K 0.2500 0.7500 0.5000  4 K 3.47, 4 Bi 3.49
K 0.7500 0.2500 0.5000  4 K 3.47, 4 Bi 3.49
Sr 0.0000 0.0000 0.0000  8 Bi 3.78
Bi 0.4062 0.4062 0.0000  1 Bi 2.98
Bi 0.5938 0.5938 0.0000  1 Bi 2.98

[2]
RbOsPd3 at its PBEsol-relaxed geometry, computed with meta-GGA SCAN.

Computed properties:
The energy of formation is 85.9 kJ per mole of atoms. As for the space group: Pm-3m, No. 221. The total magnetization is 0.000 μB/atom. The volume is 23.10 Å³/atom. The uncorrected energy is -2.74134 Ry per atom.

Unit cell a=4.8698 b=4.8698 c=4.8698 alpha=90.00 beta=90.00 gamma=90.00
Closest atoms and distances in Å follow each position.
Fractional positions:
Rb 0.0000 0.0000 0.0000  12 Pd 3.44
Os 0.5000 0.5000 0.5000  6 Pd 2.43
Pd 0.0000 0.5000 0.5000  2 Os 2.43
Pd 0.5000 0.0000 0.5000  2 Os 2.43
Pd 0.5000 0.5000 0.0000  2 Os 2.43

[3]
BeInTc2 at its PBEsol-relaxed geometry, computed with meta-GGA SCAN.

Computed properties:
The energy of formation is 30.3 kJ per mole of atoms. As for the space group: Cmmm, No. 65. The total magnetization is 0.000 μB/atom. The volume is 14.03 Å³/atom. The uncorrected energy is -1.95878 Ry per atom.

Unit cell a=2.7386 b=2.7386 c=7.8027 alpha=90.00 beta=90.00 gamma=106.45
Closest atoms and distances in Å follow each position.
Fractional positions:
Be 0.0000 0.0000 0.0000  4 Tc 2.31
In 0.0000 0.0000 0.5000  4 In 2.74, 4 Tc 2.80
Tc 0.5000 0.5000 0.2085  2 Be 2.31
Tc 0.5000 0.5000 0.7915  2 Be 2.31

[4]
PrB2Ir3 at its PBEsol-relaxed geometry, computed with meta-GGA SCAN.

Computed properties:
The energy of formation is -71.9 kJ per mole of atoms. As for the space group: P6/mmm, No. 191. The total magnetization is 0.000 μB/atom. The volume is 13.59 Å³/atom. The uncorrected energy is -3.38037 Ry per atom.

Unit cell a=5.5232 b=5.5232 c=3.0868 alpha=90.00 beta=90.00 gamma=120.00
Closest atoms and distances in Å follow each position.
Fractional positions:
Pr 0.0000 0.0000 0.0000  2 Pr 3.09, 12 Ir 3.16, 6 B 3.19
B 0.3333 0.6667 0.0000  6 Ir 2.22
B 0.6667 0.3333 0.0000  6 Ir 2.22
Ir 0.0000 0.5000 0.5000  4 B 2.22
Ir 0.5000 0.0000 0.5000  4 B 2.22
Ir 0.5000 0.5000 0.5000  4 B 2.22

[5]
SrFePt2 at its PBEsol-relaxed geometry, computed with meta-GGA SCAN.

Computed properties:
The energy of formation is -40.7 kJ per mole of atoms. As for the space group: P4/mmm, No. 123. The total magnetization is 0.939 μB/atom. The volume is 17.84 Å³/atom. The uncorrected energy is -3.35294 Ry per atom.

Unit cell a=3.1202 b=3.1202 c=7.3281 alpha=90.00 beta=90.00 gamma=90.00
Closest atoms and distances in Å follow each position.
Fractional positions:
Sr 0.0000 0.0000 0.0000  4 Sr 3.12, 8 Pt 3.16
Fe 0.0000 0.0000 0.5000  8 Pt 2.61
Pt 0.5000 0.5000 0.3086  4 Fe 2.61, 1 Pt 2.80
Pt 0.5000 0.5000 0.6914  4 Fe 2.61, 1 Pt 2.80

[6]
RbAuO at its PBEsol-relaxed geometry, computed with meta-GGA SCAN.

Computed properties:
As for the space group: I4/mmm, No. 139. The total magnetization is 0.000 μB/atom. The volume is 23.56 Å³/atom. The formation energy from raw total energies is -0.979 eV/atom. The uncorrected energy is -2.42704 Ry per atom.

Unit cell a=7.5588 b=7.5588 c=7.5588 alpha=98.47 beta=98.47 gamma=134.85
Closest atoms and distances in Å follow each position.
Fractional positions:
Rb 0.0000 0.3055 0.3055  4 O 2.83-2.91
Rb 0.0000 0.6945 0.6945  4 O 2.83-2.91
Rb 0.3055 0.0000 0.3055  4 O 2.83-2.91
Rb 0.6945 0.0000 0.6945  4 O 2.83-2.91
Au 0.3506 0.3506 0.7013  2 O 2.02
Au 0.3506 0.6494 0.0000  2 O 2.02
Au 0.6494 0.3506 0.0000  2 O 2.02
Au 0.6494 0.6494 0.2987  2 O 2.02
O 0.2105 0.5000 0.7105  2 Au 2.02
O 0.5000 0.2105 0.7105  2 Au 2.02
O 0.5000 0.7895 0.2895  2 Au 2.02
O 0.7895 0.5000 0.2895  2 Au 2.02

[7]
ZnReTc3 at its PBEsol-relaxed geometry, computed with meta-GGA SCAN.

Computed properties:
The energy of formation is 165.4 kJ per mole of atoms. As for the space group: Pm-3m, No. 221. The total magnetization is 0.470 μB/atom. The volume is 19.77 Å³/atom. The uncorrected energy is -2.66389 Ry per atom.

Unit cell a=4.6234 b=4.6234 c=4.6234 alpha=90.00 beta=90.00 gamma=90.00
Closest atoms and distances in Å follow each position.
Fractional positions:
Zn 0.0000 0.0000 0.0000  12 Tc 3.27
Re 0.5000 0.5000 0.5000  6 Tc 2.31
Tc 0.0000 0.5000 0.5000  2 Re 2.31
Tc 0.5000 0.0000 0.5000  2 Re 2.31
Tc 0.5000 0.5000 0.0000  2 Re 2.31

[8]
Zr3Ta2 at its PBEsol-relaxed geometry, computed with meta-GGA SCAN.

Computed properties:
The energy of formation is 24.3 kJ per mole of atoms. As for the space group: R-3m, No. 166. The total magnetization is 0.000 μB/atom. The volume is 20.28 Å³/atom. The uncorrected energy is -3.29283 Ry per atom.

Unit cell a=12.7727 b=12.7727 c=12.7727 alpha=13.68 beta=13.68 gamma=13.68
Closest atoms and distances in Å follow each position.
Fractional positions:
Zr 0.0000 0.0000 0.0000  6 Zr 3.04, 6 Ta 3.05
Zr 0.2020 0.2020 0.2020  9 Zr 3.04-3.20, 3 Ta 3.05
Zr 0.7980 0.7980 0.7980  9 Zr 3.04-3.20, 3 Ta 3.05
Ta 0.3990 0.3990 0.3990  6 Ta 3.04, 6 Zr 3.05
Ta 0.6010 0.6010 0.6010  6 Ta 3.04, 6 Zr 3.05

[9]
ScTi3W at its PBEsol-relaxed geometry, computed with meta-GGA SCAN.

Computed properties:
The energy of formation is 155.5 kJ per mole of atoms. As for the space group: Pm-3m, No. 221. The total magnetization is 0.000 μB/atom. The volume is 17.29 Å³/atom. The uncorrected energy is -1.82209 Ry per atom.

Unit cell a=4.4217 b=4.4217 c=4.4217 alpha=90.00 beta=90.00 gamma=90.00
Closest atoms and distances in Å follow each position.
Fractional positions:
Sc 0.0000 0.0000 0.0000  6 Ti 2.21
Ti 0.0000 0.0000 0.5000  2 Sc 2.21
Ti 0.0000 0.5000 0.0000  2 Sc 2.21
Ti 0.5000 0.0000 0.0000  2 Sc 2.21
W 0.5000 0.5000 0.5000  12 Ti 3.13

[10]
Tm5Ir3 at its PBEsol-relaxed geometry, computed with meta-GGA SCAN.

Computed properties:
The energy of formation is -103.9 kJ per mole of atoms. As for the space group: P4/ncc, No. 130. The total magnetization is 0.000 μB/atom. The volume is 21.68 Å³/atom. The uncorrected energy is -4.41977 Ry per atom.

Unit cell a=10.5962 b=10.5962 c=6.1778 alpha=90.00 beta=90.00 gamma=90.00
Closest atoms and distances in Å follow each position.
Fractional positions:
Tm 0.0408 0.1631 0.1252  5 Ir 2.82-3.04
Tm 0.0408 0.3369 0.6252  5 Ir 2.82-3.04
Tm 0.1631 0.0408 0.6252  5 Ir 2.82-3.04
Tm 0.1631 0.4592 0.1252  5 Ir 2.82-3.04
Tm 0.2500 0.7500 0.0000  4 Ir 2.78, 2 Tm 3.09
Tm 0.2500 0.7500 0.5000  4 Ir 2.78, 2 Tm 3.09
Tm 0.3369 0.0408 0.1252  5 Ir 2.82-3.04
Tm 0.3369 0.4592 0.6252  5 Ir 2.82-3.04
Tm 0.4592 0.1631 0.6252  5 Ir 2.82-3.04
Tm 0.4592 0.3369 0.1252  5 Ir 2.82-3.04
Tm 0.5408 0.6631 0.8748  5 Ir 2.82-3.04
Tm 0.5408 0.8369 0.3748  5 Ir 2.82-3.04
Tm 0.6631 0.5408 0.3748  5 Ir 2.82-3.04
Tm 0.6631 0.9592 0.8748  5 Ir 2.82-3.04
Tm 0.7500 0.2500 0.0000  4 Ir 2.78, 2 Tm 3.09
Tm 0.7500 0.2500 0.5000  4 Ir 2.78, 2 Tm 3.09
Tm 0.8369 0.5408 0.8748  5 Ir 2.82-3.04
Tm 0.8369 0.9592 0.3748  5 Ir 2.82-3.04
Tm 0.9592 0.6631 0.3748  5 Ir 2.82-3.04
Tm 0.9592 0.8369 0.8748  5 Ir 2.82-3.04
Ir 0.0959 0.5959 0.7500  8 Tm 2.78-3.04
Ir 0.0959 0.9041 0.2500  8 Tm 2.78-3.04
Ir 0.2500 0.2500 0.3774  8 Tm 2.85-2.86, 2 Ir 3.09
Ir 0.2500 0.2500 0.8774  8 Tm 2.85-2.86, 2 Ir 3.09
Ir 0.4041 0.5959 0.2500  8 Tm 2.78-3.04
Ir 0.4041 0.9041 0.7500  8 Tm 2.78-3.04
Ir 0.5959 0.0959 0.2500  8 Tm 2.78-3.04
Ir 0.5959 0.4041 0.7500  8 Tm 2.78-3.04
Ir 0.7500 0.7500 0.1226  8 Tm 2.85-2.86, 2 Ir 3.09
Ir 0.7500 0.7500 0.6226  8 Tm 2.85-2.86, 2 Ir 3.09
Ir 0.9041 0.0959 0.7500  8 Tm 2.78-3.04
Ir 0.9041 0.4041 0.2500  8 Tm 2.78-3.04

[11]
CaTiSbI2 at its PBEsol-relaxed geometry, computed with meta-GGA SCAN.

Computed properties:
As for the space group: P4/mmm, No. 123. The total magnetization is 0.204 μB/atom. The volume is 38.83 Å³/atom. The formation energy from raw total energies is 0.091 eV/atom. The uncorrected energy is -1.99889 Ry per atom.

Unit cell a=5.6790 b=5.6790 c=6.0204 alpha=90.00 beta=90.00 gamma=90.00
Closest atoms and distances in Å follow each position.
Fractional positions:
Ca 0.0000 0.0000 0.0000  4 I 2.84, 2 Sb 3.01
Ti 0.5000 0.5000 0.5000  4 Sb 4.02, 8 I 4.14
Sb 0.0000 0.0000 0.5000  2 Ca 3.01
I 0.0000 0.5000 0.0000  2 Ca 2.84
I 0.5000 0.0000 0.0000  2 Ca 2.84

[12]
CaMg3N at its PBEsol-relaxed geometry, computed with meta-GGA SCAN.

Computed properties:
As for the space group: Pm-3m, No. 221. The total magnetization is 0.380 μB/atom. The volume is 50.37 Å³/atom. The formation energy from raw total energies is 1.788 eV/atom. The uncorrected energy is -0.36655 Ry per atom.

Unit cell a=6.3150 b=6.3150 c=6.3150 alpha=90.00 beta=90.00 gamma=90.00
Closest atoms and distances in Å follow each position.
Fractional positions:
Ca 0.0000 0.0000 0.0000  6 Mg 3.16
Mg 0.0000 0.0000 0.5000  2 Ca 3.16
Mg 0.0000 0.5000 0.0000  2 Ca 3.16
Mg 0.5000 0.0000 0.0000  2 Ca 3.16
N 0.5000 0.5000 0.5000  12 Mg 4.47